(1)
The following is a PBE-GGA calculation of PmTaFeOs2 after structural relaxation, from Alexandria via LeMat-Bulk.

Summary:
The value obtained for the total energy is -95.147 eV/cell. For the formation energy, the calculation gives -0.010 eV/atom. Its spin magnetization is 2.5 μB per formula unit. For the calculated density, the calculation gives 13.11 g/cm³.

Cell lengths 4.200, 4.200, 10.943 Å; angles 90.00, 90.00, 90.00 degrees
Space group I-4m2 (No. 119)
Symmetry-distinct sites (fractional):
Pm1 0.000 0.000 0.000 [2 per cell]
Ta1 0.000 0.500 0.250 [2 per cell]
Fe1 0.000 0.500 0.750 [2 per cell]
Os1 0.000 0.000 0.384 [4 per cell]

(2)
The following is a PBE-GGA calculation of EuLu3Ir after structural relaxation, from Alexandria via LeMat-Bulk.

Summary:
The value obtained for the total energy is -34.682 eV/cell. For the formation energy, the calculation gives -0.397 eV/atom. Its spin magnetization is 7.5 μB per formula unit. For the calculated density, the calculation gives 9.29 g/cm³.

Cell lengths 5.376, 5.376, 5.376 Å; angles 90.00, 90.00, 90.00 degrees
Space group Pm-3m (No. 221)
Symmetry-distinct sites (fractional):
Eu1 0.000 0.000 0.000 [1 per cell]
Lu1 0.000 0.500 0.500 [3 per cell]
Ir1 0.500 0.500 0.500 [1 per cell]

(3)
The following is a PBE-GGA calculation of Er6SnSb3Se2 after structural relaxation, from Alexandria via LeMat-Bulk.

Summary:
The value obtained for the total energy is -130.992 eV/cell. The calculation puts the energy relative to the elements, uncorrected at -1426 kJ/mol of formula units. Its spin magnetization is 0.0 μB per formula unit. For the calculated density, the calculation gives 8.32 g/cm³.

Cell lengths 18.535, 4.260, 8.543 Å; angles 90.00, 103.15, 90.00 degrees
Space group C2/m (No. 12)
Symmetry-distinct sites (fractional):
Er1 0.003 0.000 0.250 [4 per cell]
Er2 0.166 0.500 0.088 [4 per cell]
Er3 0.169 0.500 0.580 [4 per cell]
Sn1 0.000 0.500 0.000 [2 per cell]
Sb1 0.000 0.500 0.500 [2 per cell]
Sb2 0.167 0.000 0.831 [4 per cell]
Se1 0.169 0.000 0.338 [4 per cell]

(4)
The following is a PBE-GGA calculation of Ho2InTc after structural relaxation, from Alexandria via LeMat-Bulk.

Summary:
The value obtained for the total energy is -23.279 eV/cell. For the formation energy, the calculation gives -0.255 eV/atom. Its spin magnetization is 0.0 μB per formula unit. The excess energy over the best structure of this formula in the dataset is 0.000 eV per formula unit. For the calculated density, the calculation gives 9.69 g/cm³.

Cell lengths 3.547, 3.547, 7.391 Å; angles 90.00, 90.00, 90.00 degrees
Space group P4/mmm (No. 123)
Symmetry-distinct sites (fractional):
Ho1 0.000 0.000 0.215 [2 per cell]
In1 0.500 0.500 0.500 [1 per cell]
Tc1 0.500 0.500 0.000 [1 per cell]

(5)
The following is a PBE-GGA calculation of LiTaRu2 after structural relaxation, from Alexandria via LeMat-Bulk.

Summary:
The value obtained for the total energy is -32.030 eV/cell. For the formation energy, the calculation gives 0.072 eV/atom. Its spin magnetization is 0.0 μB per formula unit. The excess energy over the best structure of this formula in the dataset is 1.090 eV per formula unit. For the calculated density, the calculation gives 11.17 g/cm³.

Cell lengths 2.761, 4.024, 5.220 Å; angles 90.00, 90.00, 90.00 degrees
Space group Pmm2 (No. 25)
Symmetry-distinct sites (fractional):
Li1 0.000 0.000 0.000 [1 per cell]
Ta1 0.500 0.500 0.734 [1 per cell]
Ru1 0.000 0.000 0.478 [1 per cell]
Ru2 0.500 0.500 0.224 [1 per cell]

(6)
The following is a PBE-GGA calculation of La3Nd8Ho after structural relaxation, from Alexandria via LeMat-Bulk.

Summary:
The value obtained for the total energy is -108.745 eV/cell. For the formation energy, the calculation gives 0.261 eV/atom. Its spin magnetization is 0.0 μB per formula unit. For the calculated density, the calculation gives 6.34 g/cm³.

Cell lengths 6.691, 11.574, 11.745 Å; angles 90.00, 90.00, 90.00 degrees
Space group Immm (No. 71)
Symmetry-distinct sites (fractional):
La1 0.000 0.000 0.000 [2 per cell]
La2 0.000 0.500 0.245 [4 per cell]
Nd1 0.000 0.166 0.252 [8 per cell]
Nd2 0.242 0.260 0.000 [8 per cell]
Ho1 0.000 0.000 0.500 [2 per cell]

Q: The highest total energy belongs to which entry?
A: Ho2InTc

Q: Among the records above, which one has the lowest total energy?
A: Er6SnSb3Se2

Q: Among the records above, which one has the highest calculated density?
A: PmTaFeOs2